The following is a DFT calculation (PBE) of a relaxed Ta3NiRh crystal.

extended XYZ file:
```
5
Lattice="-4.1896 1.7250 0.3466 -1.6052 -3.3808 -2.5772 -0.7204 -2.4987 3.7264" Properties=species:S:1:pos:R:3 pbc="T T T"
Ni 0.0000 0.0000 0.0000
Rh -3.2576 -2.0772 0.7479
Ta -0.8026 -1.6904 -1.2886
Ta -0.3602 -1.2493 1.8632
Ta -2.0948 0.8625 0.1733
```

Calculated values
SG = No. 221
DFT total energy = -44.5 eV for the cell shown
M_tot = 0.00 μB/atom
distance to the lowest polymorph of the same formula = 0.000 eV/atom
formation energy from the elements = 0.846 eV/atom